First-principles (PBE) data for crystalline Ac8InPd2 at its relaxed geometry, as listed in the Alexandria database.

**D(E_F)**: 13.18 states/eV per cell
**Symmetry**: Cm, No. 8
**Energy of formation**: -266 meV per atom
**M_tot**: 0.000 μB per atom
**Density**: 8.58 g cm⁻³

Structure (CIF):
```
data_Ac8InPd2
_cell_length_a 8.770
_cell_length_b 8.770
_cell_length_c 6.117
_cell_angle_alpha 97.77
_cell_angle_beta 97.77
_cell_angle_gamma 114.41
_symmetry_space_group_name_H-M 'P 1'
_symmetry_Int_Tables_number 1
loop_
_symmetry_equiv_pos_as_xyz
'x,y,z'
loop_
_atom_site_label
_atom_site_fract_x
_atom_site_fract_y
_atom_site_fract_z
_atom_site_occupancy
Ac1 0.000 0.000 0.000 1
Ac2 0.053 0.307 0.606 1
Ac3 0.144 0.628 0.194 1
Ac4 0.307 0.053 0.606 1
Ac5 0.464 0.718 0.784 1
Ac6 0.628 0.144 0.194 1
Ac7 0.718 0.464 0.784 1
Ac8 0.770 0.770 0.388 1
In1 0.385 0.385 0.190 1
Pd1 0.084 0.687 0.694 1
Pd2 0.687 0.084 0.694 1
```